This record from Alexandria describes crystalline SrAlCo2F8 at its relaxed geometry. The functional is PBE with a Hubbard U.

Structure (POSCAR):
```
SrAlCo2F8
1.0
4.8842 0.1055 0.1134
0.1600 4.9631 0.1745
0.1777 0.2462 6.9180
Sr Al Co F
1 1 2 8
Cartesian
0.0889 0.1231 3.4590
0.0000 0.0000 0.0000
2.7309 2.8036 5.7700
2.4910 2.5112 1.4359
1.0223 4.0552 1.4936
3.6993 3.7700 0.2859
4.0181 1.0223 1.4190
4.1995 1.2596 5.7123
1.5226 1.5448 6.9200
1.2037 4.2925 5.7869
3.4442 3.6046 4.0753
1.7776 1.7102 3.1306
```

Results
Its electronic total energy is -5.345 eV/atom. Its magnetic moment is 0.4167 μB per atom.